# 1
{"formula": "PaInGaNi", "functional": "PBE-GGA", "state": "optimized geometry", "lattice_angstrom": [[-1.5540, -1.9525, -4.0709], [-0.6704, -4.7192, -0.2809], [-4.4265, -1.7712, -0.2610]], "species": ["In", "Pa", "Ga", "Ni"], "fractional_positions": [[0.5000, 0.5000, 0.5000], [0.0000, 0.0000, 0.0000], [0.7500, 0.7500, 0.7500], [0.2500, 0.2500, 0.2500]], "sg": "F-43m (216)", "dft_energy_ha_per_atom": -0.2000}

=====

# 2
{"formula": "InGa2NiPb", "functional": "PBE-GGA", "state": "optimized geometry", "lattice_angstrom": [[4.6397, 0.0000, 0.0000], [0.0000, 4.6397, 0.0000], [0.0000, 0.0000, 5.2170]], "species": ["Ga", "Ga", "Ni", "Pb", "In"], "fractional_positions": [[0.0000, 0.5000, 0.0000], [0.5000, 0.0000, 0.0000], [0.0000, 0.0000, 0.0000], [0.5000, 0.5000, 0.5000], [0.0000, 0.0000, 0.5000]], "sg": "P4/mmm (123)", "polymorph_energy_mev_per_atom": 0}

=====

# 3
{"formula": "InGa2NiPb", "functional": "PBE-GGA", "state": "optimized geometry", "lattice_angstrom": [[4.6351, 0.0000, 0.0000], [0.0000, 4.6351, 0.0000], [0.0000, 0.0000, 5.4373]], "species": ["Ga", "Ga", "Ni", "In", "Pb"], "fractional_positions": [[0.0000, 0.5000, 0.0000], [0.5000, 0.0000, 0.0000], [0.0000, 0.0000, 0.0000], [0.5000, 0.5000, 0.5000], [0.0000, 0.0000, 0.5000]], "sg": "P4/mmm (123)", "polymorph_energy_mev_per_atom": 22}

=====

# 4
{"formula": "Pm2InGa4Ni3", "functional": "PBE-GGA", "state": "optimized geometry", "lattice_angstrom": [[4.1817, 0.0000, 0.0000], [0.0000, 4.1817, 0.0000], [0.0000, 0.0000, 10.4715]], "species": ["Pm", "Pm", "Ga", "Ga", "Ga", "Ga", "Ni", "Ni", "Ni", "In"], "fractional_positions": [[0.5000, 0.0000, 0.2338], [0.0000, 0.5000, 0.7662], [0.0000, 0.0000, 0.0000], [0.5000, 0.0000, 0.6567], [0.0000, 0.5000, 0.3433], [0.5000, 0.5000, 0.0000], [0.0000, 0.5000, 0.1196], [0.5000, 0.0000, 0.8804], [0.0000, 0.0000, 0.5000], [0.5000, 0.5000, 0.5000]], "sg": "P-4m2 (115)", "dft_energy_ha_per_atom": -0.1725}

=====

# 5
{"formula": "InGaNiPt", "functional": "PBE-GGA", "state": "optimized geometry", "lattice_angstrom": [[4.4620, 0.0000, 0.0000], [2.2310, 3.8642, 0.0000], [2.2310, 1.2881, 3.6432]], "species": ["Pt", "Ni", "In", "Ga"], "fractional_positions": [[0.7500, 0.7500, 0.7500], [0.2500, 0.2500, 0.2500], [0.0000, 0.0000, 0.0000], [0.5000, 0.5000, 0.5000]], "sg": "F-43m (216)", "dft_energy_ha_per_atom": -0.1719}

=====

# 6
{"formula": "RbIn2GaNi", "functional": "PBE-GGA", "state": "optimized geometry", "lattice_angstrom": [[-5.0275, -0.5551, -1.0344], [1.1182, -3.6487, -3.4771], [-0.3361, -3.3974, 3.4569]], "species": ["Ni", "In", "In", "Rb", "Ga"], "fractional_positions": [[0.0000, 0.0000, 0.0000], [0.0000, 0.5000, 0.0000], [0.5000, 0.0000, 0.0000], [0.5000, 0.5000, 0.5000], [0.0000, 0.0000, 0.5000]], "sg": "P4/mmm (123)", "dft_energy_ha_per_atom": -0.1131}

=====

# 7
{"formula": "InGaNiRu", "functional": "PBE-GGA", "state": "optimized geometry", "lattice_angstrom": [[-0.3755, -1.2168, -4.1959], [-3.7732, -1.6869, -1.4643], [-2.5217, 2.3180, -2.7377]], "species": ["Ga", "In", "Ru", "Ni"], "fractional_positions": [[0.7500, 0.7500, 0.7500], [0.2500, 0.2500, 0.2500], [0.5000, 0.5000, 0.5000], [0.0000, 0.0000, 0.0000]], "sg": "F-43m (216)", "dft_energy_ha_per_atom": -0.1949}

=====

# 8
{"formula": "ScInGaNi", "functional": "PBE-GGA", "state": "optimized geometry", "lattice_angstrom": [[-2.5481, -2.5769, -2.8401], [1.2156, -0.4455, -4.4185], [1.6282, -4.0199, -1.5456]], "species": ["In", "Ga", "Ni", "Sc"], "fractional_positions": [[0.5000, 0.5000, 0.5000], [0.7500, 0.7500, 0.7500], [0.2500, 0.2500, 0.2500], [0.0000, 0.0000, 0.0000]], "sg": "F-43m (216)", "dft_energy_ha_per_atom": -0.1757}

=====

no.,total magnetization (Bohr magnetons per cell)
1,0.00
2,0.00
3,0.00
4,0.00
5,0.00
6,0.00
7,0.00
8,0.00